(1)
Computed, not measured: crystalline ZrMo4Cl at its relaxed geometry at the PBE level of DFT.

The space group is F-43m (No. 216) and the conventional cell measures 7.575, 7.575 and 7.575 Å, with angles of 90.00, 90.00 and 90.00 degrees. Symmetry generates all atoms from Zr at (0.000, 0.000, 0.000), Mo at (0.124, 0.124, 0.376) and Cl at (0.250, 0.250, 0.750).

The value obtained for the spin magnetization is 0.00 Bohr magnetons per cell. As for the total energy: -0.3076 Ha/atom.

---

(2)
Computed, not measured: crystalline NaAlAu at its relaxed geometry at the PBE level of DFT.

The space group is P-6m2 (No. 187) and the conventional cell measures 4.4389, 4.4389 and 3.8204 Å, with angles of 90.00, 90.00 and 120.00 degrees. Symmetry generates all atoms from Na at (0.0000, 0.0000, 0.0000), Al at (0.3333, 0.6667, 0.5000) and Au at (0.6667, 0.3333, 0.5000).

The value obtained for the spin magnetization is 0.00 Bohr magnetons per cell. The formation enthalpy at 0 K comes out at -0.228 eV/atom.

---

(3)
Computed, not measured: crystalline SrZn2Cl at its relaxed geometry at the PBE level of DFT.

The space group is Imm2 (No. 44) and the conventional cell measures 4.311, 5.554 and 9.074 Å, with angles of 90.00, 90.00 and 90.00 degrees. Symmetry generates all atoms from Sr at (0.000, 0.000, 0.000), Zn at (0.000, 0.000, 0.542), Zn at (0.000, 0.500, 0.222) and Cl at (0.000, 0.500, 0.721).

The value obtained for the spin magnetization is 0.00 Bohr magnetons per cell. The value obtained for the energy above the lowest structure with this stoichiometry is 196 meV per atom.

---

(4)
Computed, not measured: crystalline Co2ReNi at its relaxed geometry at the PBE level of DFT.

The space group is P2/m (No. 10) and the conventional cell measures 4.438, 2.568 and 4.477 Å, with angles of 90.00, 110.56 and 90.00 degrees. Symmetry generates all atoms from Co at (0.000, 0.000, 0.000), Co at (0.000, 0.500, 0.500), Re at (0.500, 0.000, 0.500) and Ni at (0.500, 0.500, 0.000).

The value obtained for the spin magnetization is 2.77 Bohr magnetons per cell. The formation enthalpy at 0 K comes out at 0.115 eV/atom. The value obtained for the energy above the lowest structure with this stoichiometry is 104 meV per atom.